[1]
The following is a PBE calculation of a relaxed structure of GeSbTe2Mo, from Alexandria via LeMat-Bulk.

Properties
raw formation energy: 0.67 eV/atom

POSCAR file:
```
GeSbTe2Mo
1.0
-1.990 2.313 -4.319
2.272 -3.694 -3.025
-4.328 -2.985 0.396
Sb Mo Te Ge
1 1 2 1
Direct
0.000 0.000 0.500 Sb
0.000 0.000 0.000 Mo
0.000 0.500 0.000 Te
0.500 0.000 0.000 Te
0.500 0.500 0.500 Ge
```



[2]
The following is a PBE calculation of a relaxed structure of CsRbBe2Al, from Alexandria via LeMat-Bulk.

Properties
E_form: 9.2 eV/f.u.

POSCAR file:
```
CsRbBe2Al
1.0
5.986 0.000 0.000
0.000 6.943 0.000
0.000 0.000 5.986
Cs Be Al Rb
1 2 1 1
Direct
0.000 0.000 0.000 Cs
0.000 0.000 0.500 Be
0.500 0.000 0.000 Be
0.500 0.500 0.500 Al
0.000 0.500 0.000 Rb
```



[3]
The following is a PBE calculation of a relaxed structure of Dy6Ho8Mg, from Alexandria via LeMat-Bulk.

Properties
E_form: 3.7 eV/f.u.

POSCAR file:
```
Dy6Ho8Mg
1.0
-5.605 1.355 3.224
-4.873 -2.641 -7.363
2.245 -6.149 6.488
Dy Ho Mg
6 8 1
Direct
0.604 0.679 0.086 Dy
0.604 0.914 0.593 Dy
0.604 0.407 0.321 Dy
0.396 0.321 0.914 Dy
0.396 0.086 0.407 Dy
0.396 0.593 0.679 Dy
0.890 0.985 0.311 Ho
0.890 0.689 0.674 Ho
0.890 0.326 0.015 Ho
0.110 0.015 0.689 Ho
0.110 0.311 0.326 Ho
0.110 0.674 0.985 Ho
0.831 0.333 0.667 Ho
0.169 0.667 0.333 Ho
0.500 0.000 0.000 Mg
```



no.,size of the total moment (μB per cell)
1,1.03
2,0.00
3,0.00